VASP calculation (GGA-PBE) on DyY2Er6 after structural relaxation.

abc: 10.5731 10.5731 4.9898
angles: 90.00 90.00 90.00
Last column: nearest neighbours and their distance in Å.
Fractional positions:
Dy  0.0000  0.0000  0.0000  4 Y 3.53, 8 Er 3.53
Dy  0.5000  0.5000  0.5000  4 Y 3.53, 8 Er 3.53
Y  0.1667  0.1667  0.5000  10 Er 3.53, 2 Dy 3.53
Y  0.3333  0.6667  0.0000  10 Er 3.53, 2 Dy 3.53
Y  0.6667  0.3333  0.0000  10 Er 3.53, 2 Dy 3.53
Y  0.8333  0.8333  0.5000  10 Er 3.53, 2 Dy 3.53
Er  0.0004  0.3343  0.0000  8 Er 3.50-3.53, 3 Y 3.53, 1 Dy 3.53
Er  0.9996  0.6657  0.0000  8 Er 3.50-3.53, 3 Y 3.53, 1 Dy 3.53
Er  0.1657  0.5004  0.5000  8 Er 3.50-3.53, 3 Y 3.53, 1 Dy 3.53
Er  0.1667  0.8333  0.5000  6 Er 3.52-3.53, 4 Y 3.53, 2 Dy 3.53
Er  0.3333  0.3333  0.0000  6 Er 3.52-3.53, 4 Y 3.53, 2 Dy 3.53
Er  0.3343  0.0004  0.0000  8 Er 3.50-3.53, 3 Y 3.53, 1 Dy 3.53
Er  0.5004  0.1657  0.5000  8 Er 3.50-3.53, 3 Y 3.53, 1 Dy 3.53
Er  0.4996  0.8343  0.5000  8 Er 3.50-3.53, 3 Y 3.53, 1 Dy 3.53
Er  0.6657  0.9996  0.0000  8 Er 3.50-3.53, 3 Y 3.53, 1 Dy 3.53
Er  0.6667  0.6667  0.0000  6 Er 3.52-3.53, 4 Y 3.53, 2 Dy 3.53
Er  0.8333  0.1667  0.5000  6 Er 3.52-3.53, 4 Y 3.53, 2 Dy 3.53
Er  0.8343  0.4996  0.5000  8 Er 3.50-3.53, 3 Y 3.53, 1 Dy 3.53

Its density of states at the Fermi level is 11.68 states/eV/f.u. The volume comes out at 30.990 Å³/atom. The space group is No. 136. As for the uncorrected energy: -4.965 eV per atom.

VASP calculation (GGA-PBE) on MgCdMoRh2 after structural relaxation.

abc: 4.8803 4.8803 4.6855
angles: 90.00 90.00 90.00
Last column: nearest neighbours and their distance in Å.
Fractional positions:
Mg  0.0000  0.0000  0.0000  2 Cd 2.34
Cd  0.0000  0.0000  0.5000  2 Mg 2.34, 4 Rh 2.44
Mo  0.5000  0.5000  0.0000  8 Rh 3.38, 4 Mg 3.45
Rh  0.0000  0.5000  0.5000  2 Cd 2.44
Rh  0.5000  0.0000  0.5000  2 Cd 2.44

Its density of states at the Fermi level is 4.41 states/eV/f.u. The volume comes out at 22.320 Å³/atom. The space group is No. 123. As for the uncorrected energy: -4.094 eV per atom.

VASP calculation (GGA-PBE) on CaGaCo4 after structural relaxation.

abc: 4.9028 4.9028 4.9028
angles: 60.00 60.00 60.00
Last column: nearest neighbours and their distance in Å.
Fractional positions:
Ca  0.0000  0.0000  0.0000  12 Co 2.88, 4 Ga 3.00
Ga  0.2500  0.2500  0.2500  12 Co 2.87, 4 Ca 3.00
Co  0.1280  0.6240  0.6240  6 Co 2.43-2.47
Co  0.6240  0.1280  0.6240  6 Co 2.43-2.47
Co  0.6240  0.6240  0.1280  6 Co 2.43-2.47
Co  0.6240  0.6240  0.6240  6 Co 2.43-2.47

Its density of states at the Fermi level is 7.58 states/eV/f.u. The volume comes out at 13.889 Å³/atom. The space group is No. 216. As for the uncorrected energy: -5.549 eV per atom.

VASP calculation (GGA-PBE) on TmAlCdPd after structural relaxation.

abc: 4.7781 4.7781 4.7781
angles: 60.00 60.00 60.00
Last column: nearest neighbours and their distance in Å.
Fractional positions:
Tm  0.0000  0.0000  0.0000  4 Cd 2.93, 4 Pd 2.93
Al  0.5000  0.5000  0.5000  4 Cd 2.93, 4 Pd 2.93
Cd  0.2500  0.2500  0.2500  4 Al 2.93, 4 Tm 2.93
Pd  0.7500  0.7500  0.7500  4 Tm 2.93, 4 Al 2.93

Its density of states at the Fermi level is 1.66 states/eV/f.u. The volume comes out at 19.284 Å³/atom. The space group is No. 216. As for the uncorrected energy: -4.112 eV per atom.

VASP calculation (GGA-PBE) on LiCd2Si after structural relaxation.

abc: 4.8932 4.8932 5.8410
angles: 100.66 100.66 34.24
Last column: nearest neighbours and their distance in Å.
Fractional positions:
Li  0.0000  0.0000  0.0000  3 Si 2.74-2.89, 2 Li 2.88, 3 Cd 2.91-2.97
Cd  0.5140  0.5140  0.5318  5 Cd 2.88-3.03, 3 Si 2.90-3.10, 2 Li 3.12
Cd  0.7528  0.7528  0.2526  5 Cd 2.88-3.03, 3 Li 2.91-2.97, 2 Si 3.02
Si  0.2589  0.2589  0.8000  3 Li 2.74-2.89, 2 Si 2.88, 4 Cd 2.90-3.02

Its density of states at the Fermi level is 0.71 states/eV/f.u. The volume comes out at 19.299 Å³/atom. Its formation energy from raw total energies is 73 meV per atom. The space group is No. 8. As for the uncorrected energy: -2.218 eV per atom.

VASP calculation (GGA-PBE) on CsMn2PbI8 after structural relaxation.

abc: 7.6091 7.6091 10.8699
angles: 90.00 90.00 120.00
Last column: nearest neighbours and their distance in Å.
Fractional positions:
Cs  0.0000  0.0000  0.0000  12 I 4.30-4.39
Mn  0.3333  0.6667  0.7506  4 I 2.61-2.66
Mn  0.6667  0.3333  0.2494  4 I 2.61-2.66
Pb  0.0000  0.0000  0.5000  6 I 3.25
I  0.0063  0.6654  0.3174  1 Mn 2.66
I  0.3333  0.6667  0.9905  1 Mn 2.61
I  0.3346  0.3409  0.3174  1 Mn 2.66
I  0.3409  0.0063  0.6826  1 Mn 2.66
I  0.6591  0.9937  0.3174  1 Mn 2.66
I  0.6654  0.6591  0.6826  1 Mn 2.66
I  0.6667  0.3333  0.0095  1 Mn 2.61
I  0.9937  0.3346  0.6826  1 Mn 2.66

Its density of states at the Fermi level is 10.69 states/eV/f.u. The volume comes out at 45.419 Å³/atom. Its formation energy from raw total energies is -617 meV per atom. The space group is No. 147. As for the uncorrected energy: -3.559 eV per atom.

VASP calculation (GGA-PBE) on Tb2BiAs after structural relaxation.

abc: 7.5681 7.5681 7.5681
angles: 32.82 32.82 32.82
Last column: nearest neighbours and their distance in Å.
Fractional positions:
Tb  0.2421  0.2421  0.2421  3 As 2.95, 3 Bi 3.15
Tb  0.7579  0.7579  0.7579  3 As 2.95, 3 Bi 3.15
Bi  0.0000  0.0000  0.0000  6 Tb 3.15
As  0.5000  0.5000  0.5000  6 Tb 2.95

Its density of states at the Fermi level is 0.71 states/eV/f.u. The volume comes out at 28.329 Å³/atom. The space group is No. 166. As for the uncorrected energy: -5.634 eV per atom.

VASP calculation (GGA-PBE) on Zr2AgRh after structural relaxation.

abc: 9.3676 9.3676 9.3676
angles: 19.49 19.49 19.49
Last column: nearest neighbours and their distance in Å.
Fractional positions:
Zr  0.0000  0.0000  0.0000  3 Rh 2.67
Zr  0.2396  0.2396  0.2396  3 Ag 3.02, 9 Zr 3.17
Ag  0.4857  0.4857  0.4857  3 Rh 2.91, 3 Zr 3.02, 6 Ag 3.17
Rh  0.7370  0.7370  0.7370  3 Zr 2.67, 3 Ag 2.91

Its density of states at the Fermi level is 4.53 states/eV/f.u. The volume comes out at 19.995 Å³/atom. The space group is No. 160. As for the uncorrected energy: -6.900 eV per atom.